Entry 1:
# NaGdO2 GGA-PBEsol relaxed
# Crystal system: tetragonal
# M_tot: 7.00 μB/f.u.
# ΔE_f (raw): -2756 meV/atom
# Raw total energy: -149.5 eV per cell
data_NaGdO2
_cell_length_a 4.630
_cell_length_b 4.630
_cell_length_c 10.444
_cell_angle_alpha 90.00
_cell_angle_beta 90.00
_cell_angle_gamma 90.00
_symmetry_space_group_name_H-M 'I 41/a m d'
_symmetry_Int_Tables_number 141
loop_
_symmetry_equiv_pos_as_xyz
'x,y,z'
'-x,-y,-z'
'-y+1/4,x+3/4,z+1/4'
'y+1/4,-x+3/4,-z+1/4'
'-x+1/2,-y,z+1/2'
'x+1/2,y,-z+1/2'
'y+1/4,-x+1/4,z+3/4'
'-y+1/4,x+1/4,-z+3/4'
'x,-y,-z'
'-x,y,z'
'-y+1/4,-x+1/4,-z+3/4'
'y+1/4,x+1/4,z+3/4'
'-x+1/2,y,-z+1/2'
'x+1/2,-y,z+1/2'
'y+1/4,x+3/4,-z+1/4'
'-y+1/4,-x+3/4,z+1/4'
'x+1/2,y+1/2,z+1/2'
'-x+1/2,-y+1/2,-z+1/2'
'-y+3/4,x+1/4,z+3/4'
'y+3/4,-x+1/4,-z+3/4'
'-x,-y+1/2,z'
'x,y+1/2,-z'
'y+3/4,-x+3/4,z+1/4'
'-y+3/4,x+3/4,-z+1/4'
'x+1/2,-y+1/2,-z+1/2'
'-x+1/2,y+1/2,z+1/2'
'-y+3/4,-x+3/4,-z+1/4'
'y+3/4,x+3/4,z+1/4'
'-x,y+1/2,-z'
'x,-y+1/2,z'
'y+3/4,x+1/4,-z+3/4'
'-y+3/4,-x+1/4,z+3/4'
loop_
_atom_site_label
_atom_site_fract_x
_atom_site_fract_y
_atom_site_fract_z
_atom_site_occupancy
Na1 0.000 0.250 0.375 1
Gd1 0.000 0.250 0.875 1
O1 0.000 0.250 0.096 1

---

Entry 2:
# Na5GdO4 GGA-PBEsol relaxed
# Polymorph energy (0 for the lowest one): 22 meV/atom
# Crystal system: orthorhombic
# M_tot: 6.96 μB/f.u.
# ΔE_f (raw): -1745 meV/atom
# Raw total energy: -119.8 eV per cell
data_Na5GdO4
_cell_length_a 8.356
_cell_length_b 6.036
_cell_length_c 6.072
_cell_angle_alpha 90.00
_cell_angle_beta 90.00
_cell_angle_gamma 90.00
_symmetry_space_group_name_H-M 'P m n 21'
_symmetry_Int_Tables_number 31
_symmetry_space_group_name_Hall 'P 2ac -2'
loop_
_atom_site_label
_atom_site_fract_x
_atom_site_fract_y
_atom_site_fract_z
_atom_site_occupancy
Na1 0.000 0.159 0.000 1
Na2 0.188 0.094 0.547 1
Na3 0.188 0.593 0.730 1
Gd1 0.000 0.658 0.266 1
O1 0.000 0.310 0.356 1
O2 0.000 0.770 0.930 1
O3 0.235 0.755 0.387 1

---

Entry 3:
# Na3GdP2O8 GGA-PBEsol relaxed
# Crystal system: triclinic
# M_tot: 6.91 μB/f.u.
# ΔE_f (raw): -2567 meV/atom
# Raw total energy: -649.0 eV per cell
data_Na3GdP2O8
_cell_length_a 5.310
_cell_length_b 13.870
_cell_length_c 14.047
_cell_angle_alpha 91.04
_cell_angle_beta 100.76
_cell_angle_gamma 90.02
_symmetry_space_group_name_H-M 'P -1'
_symmetry_Int_Tables_number 2
_symmetry_space_group_name_Hall '-P 1'
loop_
_atom_site_label
_atom_site_fract_x
_atom_site_fract_y
_atom_site_fract_z
_atom_site_occupancy
Na1 0.000 0.000 0.000 1
Na2 0.000 0.500 0.000 1
Na3 0.112 0.138 0.238 1
Na4 0.122 0.637 0.237 1
Na5 0.219 0.823 0.444 1
Na6 0.225 0.323 0.445 1
Na7 0.348 0.237 0.696 1
Na8 0.351 0.737 0.696 1
Na9 0.403 0.080 0.891 1
Na10 0.489 0.580 0.891 1
Gd1 0.101 0.750 0.000 1
Gd2 0.303 0.987 0.644 1
Gd3 0.346 0.487 0.644 1
P1 0.094 0.390 0.224 1
P2 0.127 0.890 0.224 1
P3 0.223 0.603 0.457 1
P4 0.233 0.103 0.457 1
P5 0.405 0.348 0.885 1
P6 0.481 0.848 0.885 1
O1 0.023 0.855 0.598 1
O2 0.038 0.025 0.749 1
O3 0.046 0.363 0.592 1
O4 0.051 0.875 0.112 1
O5 0.061 0.375 0.112 1
O6 0.081 0.799 0.278 1
O7 0.145 0.350 0.921 1
O8 0.167 0.581 0.749 1
O9 0.195 0.299 0.279 1
O10 0.220 0.992 0.457 1
O11 0.223 0.150 0.080 1
O12 0.242 0.491 0.457 1
O13 0.277 0.138 0.565 1
O14 0.283 0.638 0.564 1
O15 0.286 0.475 0.251 1
O16 0.342 0.910 0.952 1
O17 0.355 0.383 0.779 1
O18 0.371 0.745 0.885 1
O19 0.389 0.590 0.048 1
O20 0.415 0.919 0.252 1
O21 0.423 0.646 0.402 1
O22 0.426 0.883 0.779 1
O23 0.452 0.138 0.408 1
O24 0.484 0.755 0.114 1

---

Entry 4:
# NaGdTiO4 GGA-PBEsol relaxed
# Crystal system: orthorhombic
# M_tot: 6.99 μB/f.u.
# ΔE_f (raw): -2992 meV/atom
# Raw total energy: -264.4 eV per cell
data_NaGdTiO4
_cell_length_a 12.506
_cell_length_b 5.358
_cell_length_c 5.242
_cell_angle_alpha 90.00
_cell_angle_beta 90.00
_cell_angle_gamma 90.00
_symmetry_space_group_name_H-M 'P b c m'
_symmetry_Int_Tables_number 57
_symmetry_space_group_name_Hall '-P 2c 2b'
loop_
_atom_site_label
_atom_site_fract_x
_atom_site_fract_y
_atom_site_fract_z
_atom_site_occupancy
Na1 0.086 0.001 0.250 1
Gd1 0.393 0.022 0.250 1
Ti1 0.235 0.508 0.250 1
O1 0.096 0.541 0.250 1
O2 0.258 0.250 0.000 1
O3 0.285 0.750 0.000 1
O4 0.434 0.060 0.750 1

---

Entry 5:
# Na3GdV2O8 GGA-PBEsol relaxed
# Crystal system: trigonal
# M_tot: 6.92 μB/f.u.
# ΔE_f (raw): -2449 meV/atom
# Raw total energy: -114.2 eV per cell
data_Na3GdV2O8
_cell_length_a 5.8656
_cell_length_b 5.8656
_cell_length_c 6.9413
_cell_angle_alpha 90.00
_cell_angle_beta 90.00
_cell_angle_gamma 120.00
_symmetry_space_group_name_H-M 'P -3 m 1'
_symmetry_Int_Tables_number 164
_symmetry_space_group_name_Hall '-P 3 2"'
loop_
_atom_site_label
_atom_site_fract_x
_atom_site_fract_y
_atom_site_fract_z
_atom_site_occupancy
Na1 0.0000 0.0000 0.0000 1
Na2 0.3333 0.6667 0.6600 1
Gd1 0.0000 0.0000 0.5000 1
V1 0.3333 0.6667 0.2099 1
O1 0.1747 0.3494 0.3026 1
O2 0.3333 0.6667 0.9723 1

---

Entry 6:
# NaGdTl2 GGA-PBEsol relaxed
# Crystal system: cubic
# M_tot: 6.97 μB/f.u.
# Raw total energy: -89.1 eV per cell
data_NaGdTl2
_cell_length_a 7.427
_cell_length_b 7.427
_cell_length_c 7.427
_cell_angle_alpha 90.00
_cell_angle_beta 90.00
_cell_angle_gamma 90.00
_symmetry_space_group_name_H-M 'F m -3 m'
_symmetry_Int_Tables_number 225
_symmetry_space_group_name_Hall '-F 4 2 3'
loop_
_atom_site_label
_atom_site_fract_x
_atom_site_fract_y
_atom_site_fract_z
_atom_site_occupancy
Na1 0.000 0.000 0.000 1
Gd1 0.000 0.000 0.500 1
Tl1 0.250 0.250 0.250 1

---

Entry 7:
# Gd3NbO7 GGA-PBEsol relaxed
# Polymorph energy (0 for the lowest one): 0 meV/atom
# Crystal system: triclinic
# M_tot: 21.00 μB/f.u.
# ΔE_f (raw): -3282 meV/atom
# Raw total energy: -254.0 eV per cell
data_Gd3NbO7
_cell_length_a 6.386
_cell_length_b 6.486
_cell_length_c 7.619
_cell_angle_alpha 73.09
_cell_angle_beta 89.79
_cell_angle_gamma 82.58
_symmetry_space_group_name_H-M 'P -1'
_symmetry_Int_Tables_number 2
_symmetry_space_group_name_Hall '-P 1'
loop_
_atom_site_label
_atom_site_fract_x
_atom_site_fract_y
_atom_site_fract_z
_atom_site_occupancy
Gd1 0.047 0.007 0.250 1
Gd2 0.238 0.537 0.616 1
Gd3 0.239 0.540 0.110 1
Nb1 0.500 0.000 0.000 1
Nb2 0.500 0.000 0.500 1
O1 0.043 0.637 0.842 1
O2 0.058 0.650 0.335 1
O3 0.208 0.927 0.551 1
O4 0.209 0.928 0.984 1
O5 0.414 0.043 0.238 1
O6 0.421 0.323 0.446 1
O7 0.424 0.331 0.895 1

---

Entry 8:
# Gd3NbO7 GGA-PBEsol relaxed
# Polymorph energy (0 for the lowest one): 4 meV/atom
# Crystal system: orthorhombic
# M_tot: 21.00 μB/f.u.
# ΔE_f (raw): -3278 meV/atom
# Raw total energy: -507.9 eV per cell
data_Gd3NbO7
_cell_length_a 7.435
_cell_length_b 10.575
_cell_length_c 7.549
_cell_angle_alpha 90.00
_cell_angle_beta 90.00
_cell_angle_gamma 90.00
_symmetry_space_group_name_H-M 'C m c m'
_symmetry_Int_Tables_number 63
_symmetry_space_group_name_Hall '-C 2c 2'
loop_
_atom_site_label
_atom_site_fract_x
_atom_site_fract_y
_atom_site_fract_z
_atom_site_occupancy
Gd1 0.000 0.000 0.000 1
Gd2 0.232 0.268 0.250 1
Nb1 0.000 0.500 0.000 1
O1 0.000 0.129 0.750 1
O2 0.000 0.136 0.250 1
O3 0.000 0.433 0.250 1
O4 0.198 0.376 0.532 1

---

Entry 9:
# Gd3NbS3O4 GGA-PBEsol relaxed
# Crystal system: orthorhombic
# M_tot: 20.97 μB/f.u.
# ΔE_f (raw): -2694 meV/atom
# Raw total energy: -471.8 eV per cell
data_Gd3NbS3O4
_cell_length_a 6.574
_cell_length_b 14.033
_cell_length_c 7.560
_cell_angle_alpha 90.00
_cell_angle_beta 90.00
_cell_angle_gamma 90.00
_symmetry_space_group_name_H-M 'P n a 21'
_symmetry_Int_Tables_number 33
_symmetry_space_group_name_Hall 'P 2c -2n'
loop_
_atom_site_label
_atom_site_fract_x
_atom_site_fract_y
_atom_site_fract_z
_atom_site_occupancy
Gd1 0.215 0.157 0.000 1
Gd2 0.222 0.918 0.756 1
Gd3 0.226 0.171 0.509 1
Nb1 0.184 0.927 0.242 1
S1 0.001 0.274 0.244 1
S2 0.028 0.493 0.531 1
S3 0.043 0.298 0.767 1
O1 0.124 0.859 0.025 1
O2 0.126 0.885 0.479 1
O3 0.133 0.074 0.741 1
O4 0.142 0.065 0.264 1

---

Entry 10:
# NdGd3 GGA-PBEsol relaxed
# Crystal system: cubic
# M_tot: 21.91 μB/f.u.
# Raw total energy: -48.5 eV per cell
data_NdGd3
_cell_length_a 4.974
_cell_length_b 4.974
_cell_length_c 4.974
_cell_angle_alpha 90.00
_cell_angle_beta 90.00
_cell_angle_gamma 90.00
_symmetry_space_group_name_H-M 'P m -3 m'
_symmetry_Int_Tables_number 221
_symmetry_space_group_name_Hall '-P 4 2 3'
loop_
_atom_site_label
_atom_site_fract_x
_atom_site_fract_y
_atom_site_fract_z
_atom_site_occupancy
Nd1 0.000 0.000 0.000 1
Gd1 0.000 0.500 0.500 1

---

Entry 11:
# Gd2Ni7 GGA-PBEsol relaxed
# Crystal system: trigonal
# M_tot: 1.07 μB/f.u.
# Raw total energy: -452.2 eV per cell
data_Gd2Ni7
_cell_length_a 4.8688
_cell_length_b 4.8688
_cell_length_c 35.7626
_cell_angle_alpha 90.00
_cell_angle_beta 90.00
_cell_angle_gamma 120.00
_symmetry_space_group_name_H-M 'R -3 m'
_symmetry_Int_Tables_number 166
_symmetry_space_group_name_Hall '-R 3 2"'
loop_
_atom_site_label
_atom_site_fract_x
_atom_site_fract_y
_atom_site_fract_z
_atom_site_occupancy
Gd1 0.0000 0.0000 0.0508 1
Gd2 0.0000 0.0000 0.1473 1
Ni1 0.0000 0.0000 0.2783 1
Ni2 0.0000 0.0000 0.3881 1
Ni3 0.0000 0.0000 0.5000 1
Ni4 0.0000 0.5000 0.0000 1
Ni5 0.9995 0.4998 0.1094 1

---

Entry 12:
# GdNi GGA-PBEsol relaxed
# Crystal system: orthorhombic
# M_tot: 7.21 μB/f.u.
# Raw total energy: -85.6 eV per cell
data_GdNi
_cell_length_a 3.672
_cell_length_b 10.098
_cell_length_c 4.190
_cell_angle_alpha 90.00
_cell_angle_beta 90.00
_cell_angle_gamma 90.00
_symmetry_space_group_name_H-M 'C m c m'
_symmetry_Int_Tables_number 63
_symmetry_space_group_name_Hall '-C 2c 2'
loop_
_atom_site_label
_atom_site_fract_x
_atom_site_fract_y
_atom_site_fract_z
_atom_site_occupancy
Gd1 0.000 0.139 0.250 1
Ni1 0.000 0.427 0.250 1

---

Entry 13:
# GdNi2P2 GGA-PBEsol relaxed
# Crystal system: tetragonal
# M_tot: 6.92 μB/f.u.
# Raw total energy: -87.8 eV per cell
data_GdNi2P2
_cell_length_a 3.844
_cell_length_b 3.844
_cell_length_c 9.318
_cell_angle_alpha 90.00
_cell_angle_beta 90.00
_cell_angle_gamma 90.00
_symmetry_space_group_name_H-M 'I 4/m m m'
_symmetry_Int_Tables_number 139
_symmetry_space_group_name_Hall '-I 4 2'
loop_
_atom_site_label
_atom_site_fract_x
_atom_site_fract_y
_atom_site_fract_z
_atom_site_occupancy
Gd1 0.000 0.000 0.000 1
Ni1 0.000 0.500 0.250 1
P1 0.000 0.000 0.376 1

---

Entry 14:
# GdNiPb GGA-PBEsol relaxed
# Crystal system: orthorhombic
# M_tot: 7.09 μB/f.u.
# Raw total energy: -103.9 eV per cell
data_GdNiPb
_cell_length_a 7.166
_cell_length_b 4.527
_cell_length_c 7.709
_cell_angle_alpha 90.00
_cell_angle_beta 90.00
_cell_angle_gamma 90.00
_symmetry_space_group_name_H-M 'P n m a'
_symmetry_Int_Tables_number 62
_symmetry_space_group_name_Hall '-P 2ac 2n'
loop_
_atom_site_label
_atom_site_fract_x
_atom_site_fract_y
_atom_site_fract_z
_atom_site_occupancy
Gd1 0.015 0.250 0.200 1
Ni1 0.209 0.750 0.416 1
Pb1 0.186 0.250 0.587 1

---

Entry 15:
# GdSi2Ni2 GGA-PBEsol relaxed
# Crystal system: tetragonal
# M_tot: 7.15 μB/f.u.
# ΔE_f (raw): -905 meV/atom
# Raw total energy: -85.6 eV per cell
data_GdSi2Ni2
_cell_length_a 3.942
_cell_length_b 3.942
_cell_length_c 9.462
_cell_angle_alpha 90.00
_cell_angle_beta 90.00
_cell_angle_gamma 90.00
_symmetry_space_group_name_H-M 'I 4/m m m'
_symmetry_Int_Tables_number 139
_symmetry_space_group_name_Hall '-I 4 2'
loop_
_atom_site_label
_atom_site_fract_x
_atom_site_fract_y
_atom_site_fract_z
_atom_site_occupancy
Gd1 0.000 0.000 0.000 1
Si1 0.000 0.000 0.372 1
Ni1 0.000 0.500 0.250 1